# 1
Computed, not measured: a relaxed structure of TaZn2F at the PBE level of DFT.

Cell and atoms, written as POSCAR:
```
TaZn2F
1.0
-3.5666 3.5666 2.3543
3.5666 -3.5666 2.3543
3.5666 3.5666 -2.3543
Ta Zn F
2 4 2
direct
0.0000 0.0000 0.0000
0.7500 0.2500 0.5000
0.1645 0.6250 0.0395
0.3750 0.4145 0.5395
0.5855 0.1250 0.9605
0.8750 0.8355 0.4605
0.2500 0.7500 0.5000
0.5000 0.5000 0.0000
```

Properties
For the total DFT energy (no corrections), the calculation gives -4.18 eV/atom. For the energy above the most stable polymorph in this dataset, the calculation gives 0 meV/atom. As for the space group: No. 122. The calculation puts the magnetization at 0.00 μB per formula unit. The value obtained for the uncorrected formation energy is -0.11 eV per atom.


# 2
Computed, not measured: a relaxed structure of MnSnPdAu at the PBE level of DFT.

Cell and atoms, written as POSCAR:
```
MnSnPdAu
1.0
0.0000 3.2783 3.2783
3.2783 0.0000 3.2783
3.2783 3.2783 0.0000
Mn Sn Pd Au
1 1 1 1
direct
0.0000 0.0000 0.0000
0.5000 0.5000 0.5000
0.2500 0.2500 0.2500
0.7500 0.7500 0.7500
```

Properties
For the total DFT energy (no corrections), the calculation gives -5.61 eV/atom. As for the space group: No. 216. The calculation puts the magnetization at 4.25 μB per formula unit.


# 3
Computed, not measured: a relaxed structure of RbPtBr at the PBE level of DFT.

Cell and atoms, written as POSCAR:
```
RbPtBr
1.0
6.1837 -1.9338 0.0000
6.1837 1.9338 0.0000
-1.4305 0.0000 8.1678
Rb Pt Br
2 2 2
direct
0.0000 0.0000 0.0000
0.6572 0.6572 0.4498
0.3166 0.3166 0.2197
0.7429 0.7429 0.0234
0.2113 0.2113 0.8040
0.9188 0.9188 0.4028
```

Properties
For the total DFT energy (no corrections), the calculation gives -3.53 eV/atom. For the energy above the most stable polymorph in this dataset, the calculation gives 29 meV/atom. As for the space group: No. 8. The calculation puts the magnetization at 0.00 μB per formula unit. The value obtained for the uncorrected formation energy is -0.63 eV per atom.


# 4
Computed, not measured: a relaxed structure of HWSe2 at the PBE level of DFT.

Cell and atoms, written as POSCAR:
```
HWSe2
1.0
1.7302 0.9989 6.8365
-1.7302 0.9989 6.8365
0.0000 -1.9979 6.8365
H W Se
1 1 2
direct
0.0000 0.0000 0.0000
0.5000 0.5000 0.5000
0.0877 0.0877 0.0877
0.9123 0.9123 0.9123
```

Properties
For the total DFT energy (no corrections), the calculation gives -5.72 eV/atom. For the energy above the most stable polymorph in this dataset, the calculation gives 223 meV/atom. As for the space group: No. 166. The calculation puts the magnetization at 0.00 μB per formula unit.


# 5
Computed, not measured: a relaxed structure of Fe2SnHPt at the PBE level of DFT.

Cell and atoms, written as POSCAR:
```
Fe2SnHPt
1.0
3.8729 0.0000 0.0000
0.0000 3.8729 0.0000
0.0000 0.0000 4.1492
Fe Sn H Pt
2 1 1 1
direct
0.0000 0.5000 0.0000
0.5000 0.0000 0.0000
0.0000 0.0000 0.5000
0.5000 0.5000 0.0000
0.5000 0.5000 0.5000
```

Properties
For the total DFT energy (no corrections), the calculation gives -6.08 eV/atom. As for the space group: No. 123. The calculation puts the magnetization at 4.68 μB per formula unit.


# 6
Computed, not measured: a relaxed structure of TcAgTe at the PBE level of DFT.

Cell and atoms, written as POSCAR:
```
TcAgTe
1.0
-1.6762 1.6762 5.1026
1.6762 -1.6762 5.1026
1.6762 1.6762 -5.1026
Tc Ag Te
1 1 1
direct
0.0000 0.0000 0.0000
0.3194 0.3194 0.0000
0.6234 0.6234 0.0000
```

Properties
For the total DFT energy (no corrections), the calculation gives -5.10 eV/atom. For the energy above the most stable polymorph in this dataset, the calculation gives 0 meV/atom. As for the space group: No. 107. The calculation puts the magnetization at 0.00 μB per formula unit. The value obtained for the uncorrected formation energy is 0.35 eV per atom.


# 7
Computed, not measured: a relaxed structure of CaAgOs3 at the PBE level of DFT.

Cell and atoms, written as POSCAR:
```
CaAgOs3
1.0
4.6895 0.0000 0.0000
0.0000 4.6895 0.0000
0.0000 0.0000 4.6895
Ca Ag Os
1 1 3
direct
0.0000 0.0000 0.0000
0.5000 0.5000 0.5000
0.0000 0.0000 0.5000
0.0000 0.5000 0.0000
0.5000 0.0000 0.0000
```

Properties
For the total DFT energy (no corrections), the calculation gives -4.56 eV/atom. For the energy above the most stable polymorph in this dataset, the calculation gives 713 meV/atom. As for the space group: No. 221. The calculation puts the magnetization at 3.00 μB per formula unit.


# 8
Computed, not measured: a relaxed structure of La2Pr8Dy at the PBE level of DFT.

Cell and atoms, written as POSCAR:
```
La2Pr8Dy
1.0
4.6408 -8.4189 0.0000
4.6408 8.4189 0.0000
-3.2906 0.0000 5.1291
La Pr Dy
2 8 1
direct
0.1933 0.8067 0.0000
0.8067 0.1933 0.0000
0.0818 0.0818 0.2969
0.1716 0.4007 0.8242
0.2950 0.7050 0.5000
0.4007 0.1716 0.8242
0.5993 0.8284 0.1758
0.7050 0.2950 0.5000
0.8284 0.5993 0.1758
0.9182 0.9182 0.7031
0.5000 0.5000 0.5000
```

Properties
For the total DFT energy (no corrections), the calculation gives -4.66 eV/atom. For the energy above the most stable polymorph in this dataset, the calculation gives 0 meV/atom. As for the space group: No. 12. The calculation puts the magnetization at 0.00 μB per formula unit.


# 9
Computed, not measured: a relaxed structure of Li5ZnHg at the PBE level of DFT.

Cell and atoms, written as POSCAR:
```
Li5ZnHg
1.0
4.7854 -2.7279 0.0000
4.7854 2.7279 0.0000
-2.0915 0.0000 9.5770
Li Zn Hg
10 2 2
direct
0.1295 0.3429 0.6866
0.1823 0.8177 0.7500
0.2940 0.4109 0.9706
0.3429 0.1295 0.1866
0.4109 0.2940 0.4706
0.5891 0.7060 0.5294
0.6571 0.8705 0.8134
0.7060 0.5891 0.0294
0.8177 0.1823 0.2500
0.8705 0.6571 0.3134
0.0000 0.0000 0.0000
0.0000 0.0000 0.5000
0.3244 0.6756 0.2500
0.6756 0.3244 0.7500
```

Properties
For the total DFT energy (no corrections), the calculation gives -1.72 eV/atom. For the energy above the most stable polymorph in this dataset, the calculation gives 3 meV/atom. As for the space group: No. 15. The calculation puts the magnetization at 0.00 μB per formula unit.


# 10
Computed, not measured: a relaxed structure of CsRb2CdIn at the PBE level of DFT.

Cell and atoms, written as POSCAR:
```
CsRb2CdIn
1.0
7.1972 0.0000 0.0000
0.0000 7.1972 0.0000
0.0000 0.0000 5.7614
Cs Rb Cd In
1 2 1 1
direct
0.0000 0.0000 0.0000
0.0000 0.5000 0.5000
0.5000 0.0000 0.5000
0.5000 0.5000 0.5000
0.5000 0.5000 0.0000
```

Properties
For the total DFT energy (no corrections), the calculation gives -1.24 eV/atom. For the energy above the most stable polymorph in this dataset, the calculation gives 0 meV/atom. As for the space group: No. 123. The calculation puts the magnetization at 0.00 μB per formula unit.


# 11
Computed, not measured: a relaxed structure of Co2HgPbI at the PBE level of DFT.

Cell and atoms, written as POSCAR:
```
Co2HgPbI
1.0
4.6577 0.0000 0.0000
0.0000 4.6577 0.0000
0.0000 0.0000 6.2061
Co Hg Pb I
2 1 1 1
direct
0.0000 0.5000 0.0000
0.5000 0.0000 0.0000
0.0000 0.0000 0.5000
0.5000 0.5000 0.5000
0.0000 0.0000 0.0000
```

Properties
For the total DFT energy (no corrections), the calculation gives -2.88 eV/atom. As for the space group: No. 123. The calculation puts the magnetization at 2.07 μB per formula unit. The value obtained for the uncorrected formation energy is 1.08 eV per atom.


# 12
Computed, not measured: a relaxed structure of Ir2PbCl at the PBE level of DFT.

Cell and atoms, written as POSCAR:
```
Ir2PbCl
1.0
3.0724 0.0000 0.0000
0.0000 4.6906 0.0000
-0.3028 0.0000 5.0369
Ir Pb Cl
2 1 1
direct
0.2021 0.0000 0.2759
0.7979 0.0000 0.7241
0.5000 0.5000 0.0000
0.0000 0.5000 0.5000
```

Properties
For the total DFT energy (no corrections), the calculation gives -5.11 eV/atom. For the energy above the most stable polymorph in this dataset, the calculation gives 507 meV/atom. As for the space group: No. 10. The calculation puts the magnetization at 0.00 μB per formula unit. The value obtained for the uncorrected formation energy is 0.70 eV per atom.


no.,D(E_F) (states/eV/atom)
1,0.9430
2,0.6137
3,0.0000
4,0.6949
5,0.7552
6,0.3414
7,1.2827
8,1.3946
9,0.4979
10,0.5935
11,1.6077
12,0.8157